Entry 1:
LiMg3Cd2: relaxed, GGA-PBE.

Output
The value obtained for the energy relative to the lowest polymorph listed for this composition is 37 kJ/mol of formula units.

a b c (Å): 2.9977 4.9723 8.4459
angles (deg): 90.00 90.00 90.00
Sites, in units of the cell vectors:
Li  0.0000  0.0000  0.0000
Mg  0.0000  0.0000  0.3256
Mg  0.0000  0.5000  0.5080
Mg  0.0000  0.5000  0.8526
Cd  0.5000  0.0000  0.6787
Cd  0.5000  0.5000  0.1716


Entry 2:
LiMg14Cd: relaxed, GGA-PBE.

Output
The value obtained for the energy relative to the lowest polymorph listed for this composition is 21 kJ/mol of formula units.

a b c (Å): 6.4745 6.4745 8.6179
angles (deg): 90.00 90.00 90.00
Sites, in units of the cell vectors:
Li  0.0000  0.0000  0.0000
Mg  0.0000  0.0000  0.5000
Mg  0.0000  0.5000  0.0000
Mg  0.0000  0.5000  0.5000
Mg  0.2486  0.2486  0.2456
Mg  0.2486  0.2486  0.7544
Mg  0.2486  0.7514  0.2456
Mg  0.2486  0.7514  0.7544
Mg  0.5000  0.0000  0.0000
Mg  0.5000  0.0000  0.5000
Mg  0.5000  0.5000  0.5000
Mg  0.7514  0.2486  0.2456
Mg  0.7514  0.2486  0.7544
Mg  0.7514  0.7514  0.2456
Mg  0.7514  0.7514  0.7544
Cd  0.5000  0.5000  0.0000


Entry 3:
Li9Mg4Cd11: relaxed, GGA-PBE.

a b c (Å): 12.7512 12.7512 3.0940
angles (deg): 90.00 90.00 110.12
Sites, in units of the cell vectors:
Li  0.0000  0.0000  0.0000
Li  0.1116  0.6627  0.0000
Li  0.2985  0.4892  0.0000
Li  0.3373  0.8884  0.0000
Li  0.4892  0.2985  0.0000
Li  0.5108  0.7015  0.0000
Li  0.6627  0.1116  0.0000
Li  0.7015  0.5108  0.0000
Li  0.8884  0.3373  0.0000
Mg  0.0832  0.2510  0.0000
Mg  0.2510  0.0832  0.0000
Mg  0.7490  0.9168  0.0000
Mg  0.9168  0.7490  0.0000
Cd  0.0991  0.4623  0.5000
Cd  0.1292  0.8708  0.5000
Cd  0.2957  0.2957  0.5000
Cd  0.3128  0.6872  0.5000
Cd  0.4623  0.0991  0.5000
Cd  0.5000  0.5000  0.5000
Cd  0.5377  0.9009  0.5000
Cd  0.6872  0.3128  0.5000
Cd  0.7043  0.7043  0.5000
Cd  0.8708  0.1292  0.5000
Cd  0.9009  0.5377  0.5000


Entry 4:
Li2Mg2Cd3: relaxed, GGA-PBE.

Output
The value obtained for the energy relative to the lowest polymorph listed for this composition is 13 kJ/mol of formula units.

a b c (Å): 10.3401 10.3401 10.3401
angles (deg): 163.61 153.38 31.42
Sites, in units of the cell vectors:
Li  0.1489  0.1489  0.0000
Li  0.8511  0.8511  0.0000
Mg  0.4265  0.9265  0.5000
Mg  0.5735  0.0735  0.5000
Cd  0.0000  0.5000  0.5000
Cd  0.2917  0.2917  0.0000
Cd  0.7083  0.7083  0.0000


Entry 5:
Li2Mg2Cd: relaxed, GGA-PBE.

Output
The value obtained for the energy relative to the lowest polymorph listed for this composition is 0 kJ/mol of formula units.

a b c (Å): 5.5058 4.8811 7.5576
angles (deg): 90.00 103.36 90.00
Sites, in units of the cell vectors:
Li  0.0383  0.2500  0.3621
Li  0.1325  0.7500  0.0276
Li  0.8675  0.2500  0.9724
Li  0.9617  0.7500  0.6379
Mg  0.3415  0.7500  0.4241
Mg  0.4499  0.2500  0.1523
Mg  0.5501  0.7500  0.8477
Mg  0.6585  0.2500  0.5759
Cd  0.2235  0.2500  0.7537
Cd  0.7765  0.7500  0.2463


Entry 6:
Li7Mg2Cd2: relaxed, GGA-PBE.

Output
The value obtained for the energy relative to the lowest polymorph listed for this composition is 0 kJ/mol of formula units.

a b c (Å): 5.4832 5.6966 7.3184
angles (deg): 76.50 70.63 85.97
Sites, in units of the cell vectors:
Li  0.0000  0.0000  0.0000
Li  0.0710  0.8013  0.6280
Li  0.2645  0.4699  0.9025
Li  0.4496  0.1125  0.1651
Li  0.5504  0.8875  0.8349
Li  0.7355  0.5301  0.0975
Li  0.9290  0.1987  0.3720
Mg  0.3615  0.2539  0.5528
Mg  0.6385  0.7461  0.4472
Cd  0.2033  0.6483  0.2562
Cd  0.7967  0.3517  0.7438


Entry 7:
Li3Mg4Cd2: relaxed, GGA-PBE.

a b c (Å): 4.8327 4.8429 8.9213
angles (deg): 89.79 89.92 60.12
Sites, in units of the cell vectors:
Li  0.0000  0.0000  0.0000
Li  0.3334  0.3337  0.4510
Li  0.6666  0.6663  0.5490
Mg  0.0003  0.9998  0.3284
Mg  0.9997  0.0002  0.6716
Mg  0.3337  0.3335  0.1139
Mg  0.6663  0.6665  0.8861
Cd  0.3330  0.3334  0.7745
Cd  0.6670  0.6666  0.2255


Entry 8:
LiMg4Cd: relaxed, GGA-PBE.

Output
The value obtained for the energy relative to the lowest polymorph listed for this composition is 78 kJ/mol of formula units.

a b c (Å): 5.8203 5.8203 5.8203
angles (deg): 60.00 60.00 60.00
Sites, in units of the cell vectors:
Li  0.0000  0.0000  0.0000
Mg  0.1264  0.6245  0.6245
Mg  0.6245  0.1264  0.6245
Mg  0.6245  0.6245  0.1264
Mg  0.6245  0.6245  0.6245
Cd  0.2500  0.2500  0.2500


Entry 9:
LiMg5Cd2: relaxed, GGA-PBE.

Output
The value obtained for the energy relative to the lowest polymorph listed for this composition is 38 kJ/mol of formula units.

a b c (Å): 4.8824 4.8824 17.8462
angles (deg): 90.00 90.00 120.00
Sites, in units of the cell vectors:
Li  0.3333  0.6667  0.2500
Li  0.6667  0.3333  0.7500
Mg  0.0000  0.0000  0.1599
Mg  0.0000  0.0000  0.3401
Mg  0.0000  0.0000  0.6599
Mg  0.0000  0.0000  0.8401
Mg  0.3333  0.6667  0.5591
Mg  0.3333  0.6667  0.7500
Mg  0.3333  0.6667  0.9409
Mg  0.6667  0.3333  0.0591
Mg  0.6667  0.3333  0.2500
Mg  0.6667  0.3333  0.4409
Cd  0.3333  0.6667  0.1031
Cd  0.3333  0.6667  0.3969
Cd  0.6667  0.3333  0.6031
Cd  0.6667  0.3333  0.8969


Entry 10:
Li2Mg2Cd3: relaxed, GGA-PBE.

Output
The value obtained for the energy relative to the lowest polymorph listed for this composition is 0 kJ/mol of formula units.

a b c (Å): 7.5722 7.5722 7.5722
angles (deg): 37.27 37.27 37.27
Sites, in units of the cell vectors:
Li  0.0840  0.0840  0.0840
Li  0.9160  0.9160  0.9160
Mg  0.3632  0.3632  0.3632
Mg  0.6368  0.6368  0.6368
Cd  0.2254  0.2254  0.2254
Cd  0.5000  0.5000  0.5000
Cd  0.7746  0.7746  0.7746


Number 1: E_form -0.050 eV per atom, raw total energy -1.472 eV per atom, total magnetic moment 0.0 μB per formula unit. Number 2: E_form -0.023 eV per atom, raw total energy -1.595 eV per atom, total magnetic moment 0.0 μB per formula unit. Number 3: E_form -0.192 eV per atom, raw total energy -1.595 eV per atom, total magnetic moment 0.0 μB per formula unit. Number 4: E_form -0.129 eV per atom, raw total energy -1.524 eV per atom, total magnetic moment 0.0 μB per formula unit. Number 5: E_form -0.145 eV per atom, raw total energy -1.732 eV per atom, total magnetic moment 0.0 μB per formula unit. Number 6: E_form -0.136 eV per atom, raw total energy -1.810 eV per atom, total magnetic moment 0.0 μB per formula unit. Number 7: E_form -0.157 eV per atom, raw total energy -1.707 eV per atom, total magnetic moment 0.0 μB per formula unit. Number 8: E_form 0.060 eV per atom, raw total energy -1.474 eV per atom, total magnetic moment 0.0 μB per formula unit. Number 9: E_form -0.012 eV per atom, raw total energy -1.477 eV per atom, total magnetic moment 0.0 μB per formula unit. Number 10: E_form -0.149 eV per atom, raw total energy -1.543 eV per atom, total magnetic moment 0.0 μB per formula unit.